Density functional theory data (PBE-GGA) for a geometry-optimized SnHRh3 structure.

The structure in CIF format:
```
data_SnHRh3
_cell_length_a 4.9378
_cell_length_b 4.9378
_cell_length_c 19.6920
_cell_angle_alpha 90.00
_cell_angle_beta 90.00
_cell_angle_gamma 120.00
_symmetry_space_group_name_H-M 'R -3'
_symmetry_Int_Tables_number 148
_symmetry_space_group_name_Hall '-R 3'
loop_
_atom_site_label
_atom_site_type_symbol
_atom_site_fract_x
_atom_site_fract_y
_atom_site_fract_z
_atom_site_occupancy
Sn1 Sn 0.0000 0.0000 0.1665 1
H1 H 0.0000 0.0000 0.4294 1
Rh1 Rh 0.0006 0.3364 0.3907 1
```

Output
- Fermi-level density of states: 14.156 states/eV/cell
- Distance to the lowest polymorph of the same formula: 22.3 kJ/mol of atoms
- Total DFT energy (no corrections): -178.74 eV for the cell shown
- Total moment: 0.00 μB/cell